Compound: CsNb2Ru
Source: Alexandria
Functional: meta-GGA SCAN
Structure: PBEsol geometry

Values from the calculation:
density of states at the Fermi level = 4.8 states/eV/f.u.
energy of formation = 5.87 eV/f.u.

Unit cell a=4.7167 b=4.7167 c=4.7167 alpha=60.00 beta=60.00 gamma=60.00
Fractional coordinates of all 4 atoms:
Cs (0.0000, 0.0000, 0.0000)
Nb (0.2500, 0.2500, 0.2500)
Nb (0.7500, 0.7500, 0.7500)
Ru (0.5000, 0.5000, 0.5000)